Entry from Alexandria: a relaxed structure of Tb2Ho5Er3 (PBE).

- D(E_F) (states/eV per atom) = 1.8919
- ΔE to the lowest computed polymorph (eV per formula unit) = 0.00

abc: 10.546 15.598 9.364
angles: 90.00 123.99 90.00
Space group C2/c (No. 15)
One atom of each set of equivalent atoms:
1 Tb 0.141 0.126 0.046
2 Ho 0.000 0.231 0.250
3 Ho 0.000 0.274 0.750
4 Ho 0.000 0.472 0.750
5 Ho 0.232 0.380 0.217
6 Er 0.000 0.023 0.250
7 Er 0.157 0.379 0.548